DFT (PBE-GGA) results for a geometry-optimized SrTiSeCl2 structure.

a = 5.1859 Å, b = 12.5993 Å, c = 5.1859 Å
α = 90.00°, β = 90.00°, γ = 90.00°
Site moments in Bohr magnetons follow the coordinates.
Positions (direct):
Sr 0.0000 0.0000 0.0000  0.00
Cl 0.0000 0.0000 0.5000  0.00
Cl 0.5000 0.0000 0.0000  0.00
Ti 0.0000 0.5000 0.0000  1.96
Se 0.5000 0.5000 0.5000  -0.24

Values from the calculation:
As for the crystal system: tetragonal. Its spin magnetization is 2.000 μB/f.u. As for the uncorrected formation energy: -2.0 eV per formula unit. Its space group is P4/mmm, No. 123.

DFT (PBE-GGA) results for a geometry-optimized SrBiAu2 structure.

a = 4.2277 Å, b = 4.9314 Å, c = 4.9314 Å
α = 90.00°, β = 90.00°, γ = 90.00°
Positions (direct):
Au 0.0000 0.0000 0.5000
Bi 0.5000 0.5000 0.5000
Au 0.0000 0.5000 0.0000
Sr 0.5000 0.0000 0.0000

Values from the calculation:
As for the crystal system: tetragonal. Its spin magnetization is 0.000 μB/f.u. As for the energy of formation from the pure elements: -0.45 eV/atom. Its space group is P4/mmm, No. 123.

Please write out number 1 again, unchanged.
DFT (PBE-GGA) results for a geometry-optimized SrTiSeCl2 structure.

a = 5.1859 Å, b = 12.5993 Å, c = 5.1859 Å
α = 90.00°, β = 90.00°, γ = 90.00°
Site moments in Bohr magnetons follow the coordinates.
Positions (direct):
Sr 0.0000 0.0000 0.0000  0.00
Cl 0.0000 0.0000 0.5000  0.00
Cl 0.5000 0.0000 0.0000  0.00
Ti 0.0000 0.5000 0.0000  1.96
Se 0.5000 0.5000 0.5000  -0.24

Values from the calculation:
As for the crystal system: tetragonal. Its spin magnetization is 2.000 μB/f.u. As for the uncorrected formation energy: -2.0 eV per formula unit. Its space group is P4/mmm, No. 123.

What did the second record say?
DFT (PBE-GGA) results for a geometry-optimized SrBiAu2 structure.

a = 4.2277 Å, b = 4.9314 Å, c = 4.9314 Å
α = 90.00°, β = 90.00°, γ = 90.00°
Positions (direct):
Au 0.0000 0.0000 0.5000
Bi 0.5000 0.5000 0.5000
Au 0.0000 0.5000 0.0000
Sr 0.5000 0.0000 0.0000

Values from the calculation:
As for the crystal system: tetragonal. Its spin magnetization is 0.000 μB/f.u. As for the energy of formation from the pure elements: -0.45 eV/atom. Its space group is P4/mmm, No. 123.

Among the records above, which one has the lowest spin magnetization?
SrBiAu2